(1)
Compound: Cs5K2Au6
Source: Alexandria via LeMat-Bulk
Functional: PBE
Structure: relaxed

The total energy comes out at -59.43 eV for the cell shown.

It has space group Pbam (No. 55), with a = 14.183 Å, b = 17.152 Å, c = 4.991 Å, α = 90.00°, β = 90.00° and γ = 90.00°. The distinct sites, in fractional coordinates, are Cs at (0.000, 0.000, 0.000), Cs at (0.085, 0.260, 0.000), Cs at (0.171, 0.507, 0.000), K at (0.160, 0.722, 0.500), Au at (0.005, 0.415, 0.500), Au at (0.153, 0.108, 0.500) and Au at (0.166, 0.840, 0.000).


(2)
Compound: Cs4KAu4
Source: Alexandria via LeMat-Bulk
Functional: PBE
Structure: relaxed

The total energy comes out at -39.64 eV for the cell shown. The calculation puts the energy above the lowest structure with this stoichiometry at 0.034 eV/atom.

It has space group I-42m (No. 121), with a = 7.680 Å, b = 7.680 Å, c = 15.249 Å, α = 90.00°, β = 90.00° and γ = 90.00°. The distinct sites, in fractional coordinates, are Cs at (0.213, 0.213, 0.361), K at (0.000, 0.000, 0.000) and Au at (0.239, 0.239, 0.123).


(3)
Compound: CsK2Au
Source: Alexandria via LeMat-Bulk
Functional: PBE
Structure: relaxed

The total energy comes out at -28.02 eV for the cell shown. The calculation puts the energy above the lowest structure with this stoichiometry at 0.000 eV/atom.

It has space group Cmcm (No. 63), with a = 5.177 Å, b = 14.727 Å, c = 10.985 Å, α = 90.00°, β = 90.00° and γ = 90.00°. The distinct sites, in fractional coordinates, are Cs at (0.000, 0.067, 0.250), K at (0.000, 0.341, 0.065) and Au at (0.000, 0.243, 0.750).